#w
The following is a DFT calculation (PBE+U) of crystalline CrReO4 at its relaxed geometry.

Total magnetization in μB per cell: 11.42

Unit cell a=6.5610 b=6.8828 c=7.4805 alpha=62.61 beta=63.99 gamma=90.00
Closest atoms and distances in Å follow each position.
Positions (direct):
O 0.5414 0.2476 0.5048  1 Re 1.93, 2 Cr 1.96-2.00
O 0.3750 0.5607 0.2500  2 Re 2.03, 1 Cr 2.16
O 0.1250 0.3420 0.7500  1 Cr 1.95, 2 Re 1.98
Re 0.7381 0.7381 0.5238  6 O 1.93-2.03
O 0.7961 0.5023 0.9953  1 Re 1.93, 2 Cr 1.96-2.00
O 0.8750 0.0607 0.2500  2 Re 2.03, 1 Cr 2.16
O 0.6250 0.4080 0.7500  1 Cr 1.95, 2 Re 1.98
Cr 0.1250 0.6250 0.7500  6 O 1.95-1.96
O 0.6250 0.8420 0.7500  1 Cr 1.95, 2 Re 1.98
O 0.4539 0.7476 0.5047  1 Re 1.93, 2 Cr 1.96-2.00
O 0.8750 0.6894 0.2500  2 Re 2.03, 1 Cr 2.16
Cr 0.6250 0.1250 0.7500  6 O 1.95-1.96
O 0.3750 0.1894 0.2500  2 Re 2.03, 1 Cr 2.16
Cr 0.8750 0.3750 0.2500  6 O 2.00-2.16
Re 0.5119 0.5119 0.9762  6 O 1.93-2.03
O 0.2086 0.5024 0.9953  1 Re 1.93, 2 Cr 1.96-2.00
O 0.1250 0.9080 0.7500  1 Cr 1.95, 2 Re 1.98
Cr 0.3750 0.8750 0.2500  6 O 2.00-2.16
O 0.2961 0.0023 0.9953  1 Re 1.93, 2 Cr 1.96-2.00
O 0.9539 0.2476 0.5047  1 Re 1.93, 2 Cr 1.96-2.00
O 0.0414 0.7476 0.5048  1 Re 1.93, 2 Cr 1.96-2.00
O 0.7086 0.0024 0.9953  1 Re 1.93, 2 Cr 1.96-2.00
Re 0.2381 0.2381 0.5238  6 O 1.93-2.03
Re 0.0119 0.0119 0.9762  6 O 1.93-2.03

#x
The following is a DFT calculation (PBE+U) of crystalline CrReO4 at its relaxed geometry.

Total magnetization in μB per cell: 5.74

Unit cell a=5.5640 b=5.5642 c=5.5650 alpha=76.42 beta=62.58 gamma=107.73
Closest atoms and distances in Å follow each position.
Positions (direct):
O 0.7861 0.2936 0.5076  1 Re 1.93, 2 Cr 1.95-2.01
O 0.7499 0.1840 0.0659  2 Re 2.03, 1 Cr 2.17
Re 0.4764 0.0000 0.5236  6 O 1.93-2.03
Cr 0.2500 0.5000 0.2500  6 O 1.95-2.01
O 0.7139 0.7064 0.9924  1 Re 1.93, 2 Cr 1.95-2.01
O 0.1987 0.7061 0.5078  1 Re 1.93, 2 Cr 1.95-2.01
O 0.3013 0.2939 0.9922  1 Re 1.93, 2 Cr 1.95-2.01
O 0.7501 0.8160 0.4341  2 Re 2.03, 1 Cr 2.17
O 0.2500 0.2173 0.5325  1 Cr 1.95, 2 Re 1.99
Cr 0.7500 0.5000 0.7500  6 O 1.95-2.17
O 0.2500 0.7827 0.9675  1 Cr 1.95, 2 Re 1.99
Re 0.0236 0.0000 0.9764  6 O 1.93-2.03

#x is the most stable structure; the next one sits 6 meV per atom above it.

#w
The following is a DFT calculation (PBE+U) of crystalline CrReO4 at its relaxed geometry.

Total magnetization in μB per cell: 8.62

Unit cell a=4.6205 b=5.6108 c=5.5497 alpha=113.02 beta=90.00 gamma=90.00
Closest atoms and distances in Å follow each position.
Positions (direct):
Re 0.5000 0.5000 0.0000  6 O 1.93-2.00
O 0.1904 0.8537 0.6632  1 Re 1.93, 2 Cr 2.03
O 0.2079 0.3393 0.1476  2 Re 1.97-2.00, 1 Cr 2.05
O 0.7921 0.6607 0.8524  2 Re 1.97-2.00, 1 Cr 2.05
O 0.7079 0.1607 0.8524  2 Re 1.97-2.00, 1 Cr 2.05
Cr 0.5000 0.0000 0.5000  6 O 2.03-2.05
Cr 0.0000 0.5000 0.5000  6 O 2.03-2.05
O 0.8096 0.1463 0.3368  1 Re 1.93, 2 Cr 2.03
O 0.3096 0.3537 0.6632  1 Re 1.93, 2 Cr 2.03
O 0.6904 0.6463 0.3368  1 Re 1.93, 2 Cr 2.03
O 0.2921 0.8393 0.1476  2 Re 1.97-2.00, 1 Cr 2.05
Re 0.0000 0.0000 0.0000  6 O 1.93-2.00

#x
The following is a DFT calculation (PBE+U) of crystalline CrReO4 at its relaxed geometry.

Total magnetization in μB per cell: 5.56

Unit cell a=4.7516 b=5.5225 c=5.5225 alpha=116.88 beta=91.96 gamma=88.04
Closest atoms and distances in Å follow each position.
Positions (direct):
O 0.2977 0.6162 0.9065  1 Re 1.93, 2 Cr 1.98-1.99
Re 0.0000 0.2221 0.2221  6 O 1.93-2.03
O 0.8170 0.4086 0.5914  2 Re 2.03, 1 Cr 2.05
O 0.2128 0.1160 0.8840  2 Re 1.99, 1 Cr 2.01
O 0.2977 0.0935 0.3838  1 Re 1.93, 2 Cr 1.98-1.99
Re 0.0000 0.7779 0.7779  6 O 1.93-2.03
O 0.1830 0.5914 0.4086  2 Re 2.03, 1 Cr 2.05
Cr 0.4926 0.7366 0.2634  6 O 1.98-2.05
O 0.7872 0.8840 0.1160  2 Re 1.99, 1 Cr 2.01
O 0.7023 0.3838 0.0935  1 Re 1.93, 2 Cr 1.98-1.99
O 0.7023 0.9065 0.6162  1 Re 1.93, 2 Cr 1.98-1.99
Cr 0.5074 0.2634 0.7366  6 O 1.98-2.05

#x is the most stable structure; the next one sits 50 meV per atom above it.